1.
TbHgC2O8 | GGA-PBE | optimized geometry

Lattice parameters (Å, degrees): 5.158 5.158 6.822 90.00 90.00 120.00
Fractional positions:
Tb  0.000  0.000  0.000
Hg  0.000  0.000  0.500
C  0.333  0.667  0.714
C  0.667  0.333  0.286
O  0.187  0.373  0.779
O  0.187  0.813  0.779
O  0.333  0.667  0.512
O  0.373  0.187  0.221
O  0.627  0.813  0.779
O  0.667  0.333  0.488
O  0.813  0.187  0.221
O  0.813  0.627  0.221

Output
* space group: No. 164
* electronic total energy: -0.2328 Ha/atom

=====

2.
LaTcW3 | GGA-PBE | optimized geometry

Lattice parameters (Å, degrees): 4.833 4.833 4.833 90.00 90.00 90.00
Fractional positions:
La  0.000  0.000  0.000
Tc  0.500  0.500  0.500
W  0.000  0.500  0.500
W  0.500  0.000  0.500
W  0.500  0.500  0.000

Output
* space group: No. 221
* electronic total energy: -0.3487 Ha/atom
* ΔH_f (0 K): 1.342 eV per atom
* E above lowest polymorph: 0.000 eV/atom

=====

3.
Zr2Zn2P | GGA-PBE | optimized geometry

Lattice parameters (Å, degrees): 6.561 6.561 4.103 90.00 90.00 90.00
Fractional positions:
Zr  0.174  0.326  0.000
Zr  0.326  0.826  0.000
Zr  0.674  0.174  0.000
Zr  0.826  0.674  0.000
Zn  0.130  0.630  0.500
Zn  0.370  0.130  0.500
Zn  0.630  0.870  0.500
Zn  0.870  0.370  0.500
P  0.000  0.000  0.500
P  0.500  0.500  0.500

Output
* space group: No. 127
* electronic total energy: -0.1934 Ha/atom
* ΔH_f (0 K): -0.252 eV per atom
* E above lowest polymorph: 0.152 eV/atom

=====

4.
TaTcS2N | GGA-PBE | optimized geometry

Lattice parameters (Å, degrees): 4.910 4.910 3.901 90.00 90.00 90.00
Fractional positions:
Ta  0.000  0.000  0.000
Tc  0.500  0.500  0.500
S  0.000  0.500  0.000
S  0.500  0.000  0.000
N  0.000  0.000  0.500

Output
* space group: No. 123
* electronic total energy: -0.2705 Ha/atom
* E above lowest polymorph: 0.000 eV/atom

=====

5.
LiW2Cl | GGA-PBE | optimized geometry

Lattice parameters (Å, degrees): 3.286 3.286 7.812 90.00 90.00 90.00
Fractional positions:
Li  0.000  0.000  0.000
W  0.000  0.000  0.388
W  0.500  0.500  0.247
Cl  0.500  0.500  0.917

Output
* space group: No. 99
* electronic total energy: -0.2707 Ha/atom
* E above lowest polymorph: 0.002 eV/atom

=====

6.
LiTlInHg2 | GGA-PBE | optimized geometry

Lattice parameters (Å, degrees): 5.073 5.073 5.202 90.00 90.00 90.00
Fractional positions:
Li  0.000  0.000  0.000
Tl  0.500  0.500  0.500
In  0.000  0.000  0.500
Hg  0.000  0.500  0.000
Hg  0.500  0.000  0.000

Output
* space group: No. 123
* electronic total energy: -0.0544 Ha/atom
* ΔH_f (0 K): 0.044 eV per atom
* E above lowest polymorph: 0.112 eV/atom